Record 1
{"formula": "Pm3BBr3", "functional": "GGA-PBE", "state": "relaxed", "lattice": [[9.468, 0.000, -3.347], [-4.734, 8.199, -3.347], [0.000, 0.000, 10.042]], "species": ["Pm", "Pm", "Pm", "Pm", "Pm", "Pm", "Pm", "Pm", "Pm", "Pm", "Pm", "Pm", "Br", "Br", "Br", "Br", "Br", "Br", "Br", "Br", "Br", "Br", "Br", "Br", "B", "B", "B", "B"], "frac_coords": [[0.732, 0.268, 0.750], [0.768, 0.750, 0.232], [0.250, 0.018, 0.482], [0.982, 0.232, 0.464], [0.518, 0.482, 0.750], [0.768, 0.018, 0.036], [0.518, 0.036, 0.268], [0.250, 0.232, 0.268], [0.964, 0.482, 0.232], [0.982, 0.750, 0.018], [0.732, 0.464, 0.482], [0.536, 0.268, 0.018], [0.492, 0.985, 0.742], [0.750, 0.758, 0.742], [0.008, 0.250, 0.992], [0.750, 0.992, 0.508], [0.492, 0.508, 0.250], [0.258, 0.515, 0.508], [0.242, 0.250, 0.758], [0.242, 0.992, 0.985], [0.015, 0.508, 0.758], [0.008, 0.758, 0.515], [0.258, 0.742, 0.250], [0.485, 0.742, 0.992], [0.500, 0.250, 0.500], [0.750, 0.250, 0.250], [0.000, 0.000, 0.250], [0.750, 0.500, 0.000]], "crystal_system": "cubic", "raw_formation_energy_ev_per_atom": -1.26, "space_group": "No. 214"}

Record 2
{"formula": "TbPm2Hg2", "functional": "GGA-PBE", "state": "relaxed", "lattice": [[-1.084, 4.562, -1.253], [-5.789, 0.805, -1.463], [-2.629, 3.166, 4.400]], "species": ["Hg", "Hg", "Pm", "Pm", "Tb"], "frac_coords": [[0.500, 0.717, 0.283], [0.500, 0.283, 0.717], [0.194, 0.306, 0.306], [0.806, 0.694, 0.694], [0.000, 0.000, 0.000]], "e_above_lowest_polymorph_mev_per_atom": 48, "crystal_system": "orthorhombic", "space_group": "No. 71", "formation_enthalpy_0k_mev_per_atom": -327}

Record 3
{"formula": "Nd3Dy2HoS6", "functional": "GGA-PBE", "state": "relaxed", "lattice": [[-6.660, 1.643, 0.138], [1.941, -6.567, 0.420], [1.836, 2.142, 6.383]], "species": ["Nd", "Nd", "Nd", "Ho", "S", "S", "S", "S", "S", "S", "Dy", "Dy"], "frac_coords": [[0.833, 0.167, 0.500], [0.500, 0.500, 0.500], [0.167, 0.833, 0.500], [0.000, 0.000, 0.000], [0.078, 0.410, 0.233], [0.254, 0.254, 0.766], [0.746, 0.746, 0.234], [0.922, 0.590, 0.767], [0.410, 0.078, 0.233], [0.590, 0.922, 0.767], [0.667, 0.333, 0.000], [0.333, 0.667, 0.000]], "crystal_system": "monoclinic", "raw_formation_energy_ev_per_atom": -2.01, "space_group": "No. 12"}

Record 4
{"formula": "KMoBr", "functional": "GGA-PBE", "state": "relaxed", "lattice": [[3.423, 0.000, 0.000], [-1.711, 2.964, 0.000], [0.000, 0.000, 7.441]], "species": ["K", "Br", "Mo"], "frac_coords": [[0.667, 0.333, 0.334], [0.000, 0.000, 0.943], [0.333, 0.667, 0.724]], "e_above_lowest_polymorph_mev_per_atom": 0, "crystal_system": "trigonal", "raw_formation_energy_ev_per_atom": 0.65, "space_group": "No. 156"}

Record 5
{"formula": "LiZrRu", "functional": "GGA-PBE", "state": "relaxed", "lattice": [[4.926, 0.006, -0.007], [3.765, 3.177, 0.000], [1.161, 0.418, 3.143]], "species": ["Zr", "Ru", "Li"], "frac_coords": [[0.677, 0.677, 0.323], [0.334, 0.334, 0.666], [0.989, 0.989, 0.011]], "e_above_lowest_polymorph_mev_per_atom": 110, "crystal_system": "tetragonal", "space_group": "No. 107", "formation_enthalpy_0k_mev_per_atom": -120}

Record 6
{"formula": "Sn2Bi5Pb12", "functional": "GGA-PBE", "state": "relaxed", "lattice": [[6.559, 0.000, -2.109], [-0.901, 7.949, -2.801], [0.163, 0.020, 11.763]], "species": ["Sn", "Sn", "Bi", "Bi", "Bi", "Bi", "Bi", "Pb", "Pb", "Pb", "Pb", "Pb", "Pb", "Pb", "Pb", "Pb", "Pb", "Pb", "Pb"], "frac_coords": [[0.734, 0.000, 0.000], [0.266, 0.000, 0.000], [0.342, 0.900, 0.685], [0.759, 0.533, 0.518], [0.658, 0.100, 0.315], [0.241, 0.467, 0.482], [0.000, 0.500, 0.000], [0.452, 0.284, 0.904], [0.156, 0.612, 0.798], [0.132, 0.060, 0.263], [0.643, 0.612, 0.798], [0.446, 0.798, 0.399], [0.047, 0.202, 0.601], [0.868, 0.940, 0.737], [0.953, 0.798, 0.399], [0.357, 0.388, 0.202], [0.548, 0.716, 0.096], [0.844, 0.388, 0.202], [0.554, 0.202, 0.601]], "e_above_lowest_polymorph_mev_per_atom": 15, "crystal_system": "monoclinic", "space_group": "No. 12", "formation_enthalpy_0k_mev_per_atom": 74}

Record 7
{"formula": "La8AuS3Br4", "functional": "GGA-PBE", "state": "relaxed", "lattice": [[-3.200, -5.418, 5.637], [6.448, -5.712, -1.831], [2.082, 7.833, 2.381]], "species": ["S", "S", "S", "La", "La", "La", "La", "La", "La", "La", "La", "Br", "Br", "Br", "Br", "Au"], "frac_coords": [[0.000, 0.500, 0.500], [0.500, 0.500, 0.500], [0.500, 0.500, 0.000], [0.736, 0.708, 0.472], [0.753, 0.281, 0.028], [0.753, 0.281, 0.507], [0.247, 0.719, 0.493], [0.264, 0.292, 0.528], [0.725, 0.719, 0.972], [0.275, 0.281, 0.028], [0.247, 0.719, 0.972], [0.000, 0.000, 0.000], [0.500, 0.000, 0.000], [0.000, 0.000, 0.500], [0.500, 0.000, 0.500], [0.000, 0.500, 0.000]], "crystal_system": "trigonal", "raw_formation_energy_ev_per_atom": -1.57, "space_group": "No. 166"}

Record 8
{"formula": "SrLiMn2", "functional": "GGA-PBE", "state": "relaxed", "lattice": [[6.003, -0.056, 0.164], [-3.032, 5.181, 0.164], [0.599, 1.034, 2.881]], "species": ["Sr", "Mn", "Mn", "Li"], "frac_coords": [[0.500, 0.000, 0.500], [0.000, 0.000, 0.000], [0.500, 0.500, 0.000], [0.000, 0.500, 0.500]], "e_above_lowest_polymorph_mev_per_atom": 397, "crystal_system": "monoclinic", "space_group": "No. 12", "formation_enthalpy_0k_mev_per_atom": 764}

Record 9
{"formula": "Nd2PuF", "functional": "GGA-PBE", "state": "relaxed", "lattice": [[-1.560, 0.520, -2.980], [-2.726, -1.857, -0.841], [-7.610, 6.606, 3.191]], "species": ["Nd", "Nd", "Pu", "F"], "frac_coords": [[0.106, 0.106, 0.682], [0.894, 0.894, 0.318], [0.000, 0.000, 0.000], [0.500, 0.500, 0.500]], "crystal_system": "trigonal", "raw_formation_energy_ev_per_atom": -0.82, "space_group": "No. 166"}

Record 10
{"formula": "LiCd4Sn", "functional": "GGA-PBE", "state": "relaxed", "lattice": [[-5.278, 1.019, -2.475], [-3.247, -0.240, 6.827], [4.550, 5.737, -1.824]], "species": ["Cd", "Cd", "Cd", "Cd", "Cd", "Cd", "Cd", "Cd", "Li", "Li", "Sn", "Sn"], "frac_coords": [[0.439, 0.083, 0.761], [0.000, 0.202, 0.000], [0.561, 0.322, 0.239], [0.243, 0.674, 0.349], [0.561, 0.917, 0.239], [0.439, 0.678, 0.761], [0.000, 0.798, 0.000], [0.757, 0.326, 0.651], [0.250, 0.460, 0.920], [0.750, 0.540, 0.080], [0.158, 0.222, 0.444], [0.842, 0.778, 0.556]], "e_above_lowest_polymorph_mev_per_atom": 28, "crystal_system": "monoclinic", "space_group": "No. 12", "formation_enthalpy_0k_mev_per_atom": -49}

Record 11
{"formula": "BaAu3", "functional": "GGA-PBE", "state": "relaxed", "lattice": [[-2.034, 2.034, 12.988], [2.034, -2.034, 12.988], [2.034, 2.034, -12.988]], "species": ["Ba", "Ba", "Au", "Au", "Au", "Au", "Au", "Au"], "frac_coords": [[0.391, 0.391, 0.000], [0.609, 0.609, 0.000], [0.831, 0.831, 0.000], [0.169, 0.169, 0.000], [0.500, 0.000, 0.500], [0.250, 0.750, 0.500], [0.750, 0.250, 0.500], [0.000, 0.500, 0.500]], "crystal_system": "tetragonal", "space_group": "No. 139", "formation_enthalpy_0k_mev_per_atom": -398}

Record 12
{"formula": "Rb2LiSbI6", "functional": "GGA-PBE", "state": "relaxed", "lattice": [[-5.924, -5.795, 1.035], [4.832, -3.948, 5.551], [-2.059, 8.386, 1.475]], "species": ["Rb", "Rb", "I", "I", "I", "I", "I", "I", "Li", "Sb"], "frac_coords": [[0.782, 0.283, 0.564], [0.282, 0.783, 0.564], [0.238, 0.238, 0.963], [0.222, 0.223, 0.445], [0.725, 0.726, 0.963], [0.750, 0.750, 0.500], [0.725, 0.239, 0.963], [0.238, 0.725, 0.963], [0.539, 0.540, 0.079], [0.996, 0.997, 0.993]], "crystal_system": "tetragonal", "raw_formation_energy_ev_per_atom": -0.94, "space_group": "No. 79"}

Number 1: size of the total moment 0.00 Bohr magnetons per cell. Number 2: size of the total moment 0.00 Bohr magnetons per cell. Number 3: size of the total moment 0.00 Bohr magnetons per cell. Number 4: size of the total moment 0.47 Bohr magnetons per cell. Number 5: size of the total moment 0.00 Bohr magnetons per cell. Number 6: size of the total moment 0.00 Bohr magnetons per cell. Number 7: size of the total moment 0.00 Bohr magnetons per cell. Number 8: size of the total moment 7.29 Bohr magnetons per cell. Number 9: size of the total moment 5.94 Bohr magnetons per cell. Number 10: size of the total moment 0.00 Bohr magnetons per cell. Number 11: size of the total moment 0.00 Bohr magnetons per cell. Number 12: size of the total moment 0.00 Bohr magnetons per cell.